w:
A plane-wave DFT calculation with PBE was carried out for an optimized crystal structure of CrCd2Rh. Values from VASP.

Cell and atoms, written as Quantum ESPRESSO input:
```
&SYSTEM
  ibrav = 0, nat = 4, ntyp = 3
/
ATOMIC_SPECIES
Cd 112.41 Cd.upf
Rh 102.91 Rh.upf
Cr 52.00 Cr.upf
ATOMIC_POSITIONS crystal
Cd 0.0126 0.0126 0.0000
Cd 0.7428 0.2428 0.5000
Rh 0.2659 0.7659 0.5000
Cr 0.4786 0.4786 0.0000
CELL_PARAMETERS angstrom
5.5257 0.0249 0.0267
2.5821 4.8853 -0.0267
-3.4866 -3.3919 2.6217
```

x:
A plane-wave DFT calculation with PBE was carried out for an optimized crystal structure of CrCd2Rh. Values from VASP.

Cell and atoms, written as Quantum ESPRESSO input:
```
&SYSTEM
  ibrav = 0, nat = 4, ntyp = 3
/
ATOMIC_SPECIES
Cd 112.41 Cd.upf
Rh 102.91 Rh.upf
Cr 52.00 Cr.upf
ATOMIC_POSITIONS crystal
Cd 0.5000 0.5000 0.0000
Cd 0.0000 0.0000 0.0000
Rh 0.2500 0.7500 0.5000
Cr 0.7500 0.2500 0.5000
CELL_PARAMETERS angstrom
-3.5791 -3.4819 0.4685
1.9347 -4.4861 -1.1337
1.5674 3.5972 3.1236
```

Pick x: it beats the second-best structure by 54 meV per atom.

w:
A plane-wave DFT calculation with PBE was carried out for an optimized crystal structure of CrCd2Rh. Values from VASP.

Cell and atoms, written as Quantum ESPRESSO input:
```
&SYSTEM
  ibrav = 0, nat = 4, ntyp = 3
/
ATOMIC_SPECIES
Cd 112.41 Cd.upf
Rh 102.91 Rh.upf
Cr 52.00 Cr.upf
ATOMIC_POSITIONS crystal
Cd 0.2425 0.2425 0.2552
Rh 0.7655 0.7655 0.7301
Cr 0.4821 0.4821 0.5230
Cd 0.0099 0.0099 0.9917
CELL_PARAMETERS angstrom
-3.7621 3.3774 -0.4526
-4.9133 0.9218 0.8804
-0.0135 2.3594 4.3346
```

x:
A plane-wave DFT calculation with PBE was carried out for an optimized crystal structure of CrCd2Rh. Values from VASP.

Cell and atoms, written as Quantum ESPRESSO input:
```
&SYSTEM
  ibrav = 0, nat = 4, ntyp = 3
/
ATOMIC_SPECIES
Cd 112.41 Cd.upf
Cr 52.00 Cr.upf
Rh 102.91 Rh.upf
ATOMIC_POSITIONS crystal
Cd 0.4948 0.4948 0.5057
Cr 0.2500 0.2500 0.2500
Cd 0.0052 0.0052 0.9943
Rh 0.7500 0.7500 0.7500
CELL_PARAMETERS angstrom
-0.5064 0.8524 -4.9705
-3.3025 0.3143 -3.8319
-0.9876 4.7335 -0.1882
```

y:
A plane-wave DFT calculation with PBE was carried out for an optimized crystal structure of CrCd2Rh. Values from VASP.

Cell and atoms, written as Quantum ESPRESSO input:
```
&SYSTEM
  ibrav = 0, nat = 4, ntyp = 3
/
ATOMIC_SPECIES
Cd 112.41 Cd.upf
Cr 52.00 Cr.upf
Rh 102.91 Rh.upf
ATOMIC_POSITIONS crystal
Cd 0.0000 0.0000 0.9926
Cr 0.5000 0.5000 0.2500
Cd 0.0000 0.0000 0.5074
Rh 0.5000 0.5000 0.7500
CELL_PARAMETERS angstrom
3.3548 0.0000 0.0000
0.0000 3.3548 0.0000
0.0000 0.0000 6.2379
```

z:
A plane-wave DFT calculation with PBE was carried out for an optimized crystal structure of CrCd2Rh. Values from VASP.

Cell and atoms, written as Quantum ESPRESSO input:
```
&SYSTEM
  ibrav = 0, nat = 4, ntyp = 3
/
ATOMIC_SPECIES
Rh 102.91 Rh.upf
Cd 112.41 Cd.upf
Cr 52.00 Cr.upf
ATOMIC_POSITIONS crystal
Rh 0.5000 0.5000 0.7160
Cd 0.0000 0.0000 0.9702
Cd 0.5000 0.5000 0.2771
Cr 0.0000 0.0000 0.5367
CELL_PARAMETERS angstrom
2.9570 0.0000 0.0000
0.0000 2.9570 0.0000
0.0000 0.0000 7.9897
```

Pick z: it beats the second-best structure by 80 meV per atom.

w:
A plane-wave DFT calculation with PBE was carried out for an optimized crystal structure of CrCd2Rh. Values from VASP.

Cell and atoms, written as Quantum ESPRESSO input:
```
&SYSTEM
  ibrav = 0, nat = 4, ntyp = 3
/
ATOMIC_SPECIES
Cd 112.41 Cd.upf
Cr 52.00 Cr.upf
Rh 102.91 Rh.upf
ATOMIC_POSITIONS crystal
Cd 0.2500 0.2500 0.2500
Cr 0.5000 0.5000 0.5000
Cd 0.0000 0.0000 0.0000
Rh 0.7500 0.7500 0.7500
CELL_PARAMETERS angstrom
4.6208 0.0000 0.0000
2.3104 4.0017 0.0000
2.3104 1.3339 3.7728
```

x:
A plane-wave DFT calculation with PBE was carried out for an optimized crystal structure of CrCd2Rh. Values from VASP.

Cell and atoms, written as Quantum ESPRESSO input:
```
&SYSTEM
  ibrav = 0, nat = 8, ntyp = 3
/
ATOMIC_SPECIES
Cd 112.41 Cd.upf
Cr 52.00 Cr.upf
Rh 102.91 Rh.upf
ATOMIC_POSITIONS crystal
Cd 0.8750 0.8747 0.7500
Cr 0.2500 0.7500 0.5000
Cd 0.1253 0.6250 0.2500
Rh 0.0000 0.0000 0.0000
Cr 0.5000 0.5000 0.0000
Cd 0.6247 0.1250 0.2500
Rh 0.7500 0.2500 0.5000
Cd 0.3750 0.3753 0.7500
CELL_PARAMETERS angstrom
7.4301 0.0000 0.0000
0.0000 7.4301 0.0000
3.7151 3.7151 2.6423
```

y:
A plane-wave DFT calculation with PBE was carried out for an optimized crystal structure of CrCd2Rh. Values from VASP.

Cell and atoms, written as Quantum ESPRESSO input:
```
&SYSTEM
  ibrav = 0, nat = 4, ntyp = 3
/
ATOMIC_SPECIES
Rh 102.91 Rh.upf
Cd 112.41 Cd.upf
Cr 52.00 Cr.upf
ATOMIC_POSITIONS crystal
Rh 0.7500 0.7500 0.7500
Cd 0.0026 0.0026 0.0026
Cd 0.4974 0.4974 0.4974
Cr 0.2500 0.2500 0.2500
CELL_PARAMETERS angstrom
9.3024 -0.0047 -0.0028
8.8183 2.9619 -0.0028
8.8183 1.4391 2.5888
```

Pick w: it beats the second-best structure by 131 meV per atom.

w:
A plane-wave DFT calculation with PBE was carried out for an optimized crystal structure of CrCd2Rh. Values from VASP.

Cell and atoms, written as Quantum ESPRESSO input:
```
&SYSTEM
  ibrav = 0, nat = 4, ntyp = 3
/
ATOMIC_SPECIES
Rh 102.91 Rh.upf
Cr 52.00 Cr.upf
Cd 112.41 Cd.upf
ATOMIC_POSITIONS crystal
Rh 0.5000 0.6171 0.7178
Cr 0.0000 0.6301 0.5317
Cd 0.5000 0.2909 0.2680
Cd 0.0000 0.9618 0.9825
CELL_PARAMETERS angstrom
-1.4708 -1.8217 -3.5239
1.1487 -2.4848 0.8051
-4.1963 -2.5306 3.0597
```

x:
A plane-wave DFT calculation with PBE was carried out for an optimized crystal structure of CrCd2Rh. Values from VASP.

Cell and atoms, written as Quantum ESPRESSO input:
```
&SYSTEM
  ibrav = 0, nat = 4, ntyp = 3
/
ATOMIC_SPECIES
Cr 52.00 Cr.upf
Cd 112.41 Cd.upf
Rh 102.91 Rh.upf
ATOMIC_POSITIONS crystal
Cr 0.5000 0.5000 0.0000
Cd 0.0000 0.0000 0.0000
Cd 0.2500 0.7500 0.5000
Rh 0.7500 0.2500 0.5000
CELL_PARAMETERS angstrom
5.0379 0.0113 0.0000
1.6835 4.7483 0.0000
-3.3607 -2.3798 2.9022
```

y:
A plane-wave DFT calculation with PBE was carried out for an optimized crystal structure of CrCd2Rh. Values from VASP.

Cell and atoms, written as Quantum ESPRESSO input:
```
&SYSTEM
  ibrav = 0, nat = 4, ntyp = 3
/
ATOMIC_SPECIES
Cr 52.00 Cr.upf
Rh 102.91 Rh.upf
Cd 112.41 Cd.upf
ATOMIC_POSITIONS crystal
Cr 0.0000 0.0000 0.0000
Rh 0.5000 0.5000 0.5000
Cd 0.7500 0.7500 0.7500
Cd 0.2500 0.2500 0.2500
CELL_PARAMETERS angstrom
4.3836 -1.4719 0.1178
0.9192 -4.4705 0.7523
1.6492 -2.6309 -3.4285
```

Pick y: it beats the second-best structure by 20 meV per atom.

w:
A plane-wave DFT calculation with PBE was carried out for an optimized crystal structure of Cr2CdRu2. Values from VASP.

Cell and atoms, written as Quantum ESPRESSO input:
```
&SYSTEM
  ibrav = 0, nat = 10, ntyp = 3
/
ATOMIC_SPECIES
Cr 52.00 Cr.upf
Ru 101.07 Ru.upf
Cd 112.41 Cd.upf
ATOMIC_POSITIONS crystal
Cr 0.3868 0.8868 0.0000
Ru 0.1699 0.6699 0.5000
Ru 0.6699 0.8301 0.5000
Cd 0.5000 0.5000 0.0000
Cd 0.0000 0.0000 0.0000
Cr 0.1132 0.3868 0.0000
Cr 0.8868 0.6132 0.0000
Cr 0.6132 0.1132 0.0000
Ru 0.3301 0.1699 0.5000
Ru 0.8301 0.3301 0.5000
CELL_PARAMETERS angstrom
7.2950 0.0000 0.0000
0.0000 7.2950 0.0000
0.0000 0.0000 2.7436
```

x:
A plane-wave DFT calculation with PBE was carried out for an optimized crystal structure of Cr2CdRu2. Values from VASP.

Cell and atoms, written as Quantum ESPRESSO input:
```
&SYSTEM
  ibrav = 0, nat = 10, ntyp = 3
/
ATOMIC_SPECIES
Ru 101.07 Ru.upf
Cr 52.00 Cr.upf
Cd 112.41 Cd.upf
ATOMIC_POSITIONS crystal
Ru 0.3690 0.8690 0.0000
Cr 0.1590 0.6590 0.5000
Ru 0.6310 0.1310 0.0000
Cr 0.3410 0.1590 0.5000
Cr 0.8410 0.3410 0.5000
Ru 0.1310 0.3690 0.0000
Cr 0.6590 0.8410 0.5000
Cd 0.5000 0.5000 0.0000
Ru 0.8690 0.6310 0.0000
Cd 0.0000 0.0000 0.0000
CELL_PARAMETERS angstrom
7.3340 0.0000 0.0000
0.0000 7.3340 0.0000
0.0000 0.0000 2.7251
```

y:
A plane-wave DFT calculation with PBE was carried out for an optimized crystal structure of Cr2CdRu2. Values from VASP.

Cell and atoms, written as Quantum ESPRESSO input:
```
&SYSTEM
  ibrav = 0, nat = 5, ntyp = 3
/
ATOMIC_SPECIES
Cr 52.00 Cr.upf
Ru 101.07 Ru.upf
Cd 112.41 Cd.upf
ATOMIC_POSITIONS crystal
Cr 0.2500 0.7500 0.5000
Cr 0.7500 0.2500 0.5000
Ru 0.3799 0.3799 0.2403
Cd 0.0000 0.0000 0.0000
Ru 0.6201 0.6201 0.7597
CELL_PARAMETERS angstrom
3.9424 0.0000 0.0000
0.0000 3.9424 0.0000
1.9712 1.9712 5.2030
```

Pick w: it beats the second-best structure by 9 meV per atom.

w:
A plane-wave DFT calculation with PBE was carried out for an optimized crystal structure of Cr3CdS. Values from VASP.

Cell and atoms, written as Quantum ESPRESSO input:
```
&SYSTEM
  ibrav = 0, nat = 5, ntyp = 3
/
ATOMIC_SPECIES
Cd 112.41 Cd.upf
Cr 52.00 Cr.upf
S 32.06 S.upf
ATOMIC_POSITIONS crystal
Cd 0.5000 0.5000 0.5000
Cr 0.5000 0.0000 0.0000
Cr 0.0000 0.5000 0.0000
S 0.0000 0.0000 0.0000
Cr 0.0000 0.0000 0.5000
CELL_PARAMETERS angstrom
-3.7800 0.9299 1.5834
-0.6324 -4.0612 0.8754
1.7239 0.5491 3.7930
```

x:
A plane-wave DFT calculation with PBE was carried out for an optimized crystal structure of Cr3CdS. Values from VASP.

Cell and atoms, written as Quantum ESPRESSO input:
```
&SYSTEM
  ibrav = 0, nat = 5, ntyp = 3
/
ATOMIC_SPECIES
S 32.06 S.upf
Cr 52.00 Cr.upf
Cd 112.41 Cd.upf
ATOMIC_POSITIONS crystal
S 0.5000 0.5000 0.5000
Cr 0.5000 0.0000 0.0000
Cr 0.0000 0.5000 0.0000
Cr 0.0000 0.0000 0.5000
Cd 0.0000 0.0000 0.0000
CELL_PARAMETERS angstrom
-0.1236 -4.9164 -1.1895
3.0079 -1.0280 3.9366
-4.0668 -0.6109 2.9478
```

Pick w: it beats the second-best structure by 1188 meV per atom.

w:
A plane-wave DFT calculation with PBE was carried out for an optimized crystal structure of Cr2CdSb. Values from VASP.

Cell and atoms, written as Quantum ESPRESSO input:
```
&SYSTEM
  ibrav = 0, nat = 4, ntyp = 3
/
ATOMIC_SPECIES
Cr 52.00 Cr.upf
Sb 121.76 Sb.upf
Cd 112.41 Cd.upf
ATOMIC_POSITIONS crystal
Cr 0.0000 0.0000 0.0088
Cr 0.0000 0.0000 0.4912
Sb 0.5000 0.5000 0.2500
Cd 0.5000 0.5000 0.7500
CELL_PARAMETERS angstrom
-0.9328 2.5926 2.1865
-3.3909 -0.6705 -0.6517
-0.1127 -4.0436 4.7465
```

x:
A plane-wave DFT calculation with PBE was carried out for an optimized crystal structure of Cr2CdSb. Values from VASP.

Cell and atoms, written as Quantum ESPRESSO input:
```
&SYSTEM
  ibrav = 0, nat = 4, ntyp = 3
/
ATOMIC_SPECIES
Cr 52.00 Cr.upf
Cd 112.41 Cd.upf
Sb 121.76 Sb.upf
ATOMIC_POSITIONS crystal
Cr 0.2500 0.2500 0.2500
Cd 0.5000 0.5000 0.5000
Sb 0.7500 0.7500 0.7500
Cr 0.0000 0.0000 0.0000
CELL_PARAMETERS angstrom
-2.9593 3.7240 -0.3465
-1.9537 1.1101 -4.2068
-4.6586 -0.7158 -0.7289
```

y:
A plane-wave DFT calculation with PBE was carried out for an optimized crystal structure of Cr2CdSb. Values from VASP.

Cell and atoms, written as Quantum ESPRESSO input:
```
&SYSTEM
  ibrav = 0, nat = 8, ntyp = 3
/
ATOMIC_SPECIES
Cr 52.00 Cr.upf
Cd 112.41 Cd.upf
Sb 121.76 Sb.upf
ATOMIC_POSITIONS crystal
Cr 0.1107 0.6250 0.2500
Cd 0.2500 0.7500 0.5000
Cd 0.5000 0.5000 0.0000
Cr 0.3750 0.3607 0.7500
Cr 0.6393 0.1250 0.2500
Sb 0.0000 0.0000 0.0000
Cr 0.8750 0.8893 0.7500
Sb 0.7500 0.2500 0.5000
CELL_PARAMETERS angstrom
4.3996 0.0000 0.0000
0.0000 4.3996 0.0000
2.1998 2.1998 9.3126
```

Pick w: it beats the second-best structure by 50 meV per atom.

w:
A plane-wave DFT calculation with PBE was carried out for an optimized crystal structure of Cr2CdSb. Values from VASP.

Cell and atoms, written as Quantum ESPRESSO input:
```
&SYSTEM
  ibrav = 0, nat = 4, ntyp = 3
/
ATOMIC_SPECIES
Cr 52.00 Cr.upf
Cd 112.41 Cd.upf
Sb 121.76 Sb.upf
ATOMIC_POSITIONS crystal
Cr 0.7500 0.7500 0.7500
Cr 0.2500 0.2500 0.2500
Cd 0.0000 0.0000 0.0000
Sb 0.5000 0.5000 0.5000
CELL_PARAMETERS angstrom
0.0000 3.3962 3.3962
3.3962 0.0000 3.3962
3.3962 3.3962 0.0000
```

x:
A plane-wave DFT calculation with PBE was carried out for an optimized crystal structure of Cr2CdSb. Values from VASP.

Cell and atoms, written as Quantum ESPRESSO input:
```
&SYSTEM
  ibrav = 0, nat = 4, ntyp = 3
/
ATOMIC_SPECIES
Cr 52.00 Cr.upf
Sb 121.76 Sb.upf
Cd 112.41 Cd.upf
ATOMIC_POSITIONS crystal
Cr 0.2635 0.2635 0.2635
Cr 0.9843 0.9843 0.9843
Sb 0.5148 0.5148 0.5148
Cd 0.7375 0.7375 0.7375
CELL_PARAMETERS angstrom
-5.8288 4.5742 5.4400
-5.8017 1.8889 6.8749
-3.6381 3.9497 7.4603
```

Pick x: it beats the second-best structure by 35 meV per atom.